[1]
VASP calculation (SCAN) on a crystal of Li2LaIr relaxed with PBEsol.

Lattice parameters (Å, degrees): 3.846 3.854 6.023 90.00 108.66 90.00
Positions (direct):
Ir (0.687, 0.000, 0.499)
La (0.264, 0.500, 0.653)
Li (0.004, 0.000, 0.135)
Li (0.544, 0.500, 0.214)

Formation energy: -0.33 eV per atom
SG: Amm2, No. 38
Spin magnetization: 0.019 μB per formula unit
Polymorph energy (0 for the lowest one): 65 meV per atom

[2]
VASP calculation (SCAN) on a crystal of CaFePt2 relaxed with PBEsol.

Lattice parameters (Å, degrees): 4.120 4.135 4.808 115.47 115.37 90.00
Positions (direct):
Ca (0.500, 0.000, 0.000)
Fe (0.000, 0.500, 0.000)
Pt (0.749, 0.749, 0.499)
Pt (0.251, 0.251, 0.501)

Formation energy: -0.43 eV per atom
SG: Immm, No. 71
Spin magnetization: 3.819 μB per formula unit

The records above give, respectively, raw total energy values of -30.08 -42.47 eV per atom.